Entry 1:
VASP calculation (PBEsol) on an optimized crystal structure of CuAsSe.

**Total DFT energy (no corrections)**: -4.529 eV/atom

a = 6.736 Å, b = 11.700 Å, c = 19.164 Å
α = 90.00°, β = 90.00°, γ = 90.00°
Atoms (fractional coordinates):
Cu: 0.020 0.330 0.305
Cu: 0.310 0.332 0.139
Cu: 0.520 0.830 0.195
Cu: 0.480 0.830 0.695
Cu: 0.310 0.668 0.361
Cu: 0.980 0.670 0.695
Cu: 0.858 0.172 0.471
Cu: 0.810 0.168 0.139
Cu: 0.642 0.672 0.529
Cu: 0.142 0.172 0.971
Cu: 0.190 0.832 0.861
Cu: 0.810 0.832 0.361
Cu: 0.858 0.828 0.029
Cu: 0.690 0.332 0.639
Cu: 0.980 0.330 0.805
Cu: 0.358 0.328 0.471
Cu: 0.142 0.828 0.529
Cu: 0.690 0.668 0.861
Cu: 0.480 0.170 0.805
Cu: 0.520 0.170 0.305
Cu: 0.020 0.670 0.195
Cu: 0.358 0.672 0.029
Cu: 0.190 0.168 0.639
Cu: 0.642 0.328 0.971
As: 0.503 0.516 0.816
As: 0.497 0.484 0.184
As: 0.497 0.516 0.316
As: 0.848 0.518 0.146
As: 0.322 0.018 0.017
As: 0.678 0.018 0.517
As: 0.178 0.482 0.517
As: 0.152 0.482 0.854
As: 0.822 0.518 0.483
As: 0.503 0.484 0.684
As: 0.003 0.984 0.816
As: 0.652 0.018 0.854
As: 0.178 0.518 0.983
As: 0.997 0.016 0.184
As: 0.152 0.518 0.646
As: 0.822 0.482 0.017
As: 0.322 0.982 0.483
As: 0.348 0.982 0.146
As: 0.678 0.982 0.983
As: 0.997 0.984 0.316
As: 0.348 0.018 0.354
As: 0.848 0.482 0.354
As: 0.003 0.016 0.684
As: 0.652 0.982 0.646
Se: 0.521 0.167 0.681
Se: 0.815 0.167 0.015
Se: 0.185 0.167 0.515
Se: 0.650 0.667 0.653
Se: 0.021 0.333 0.681
Se: 0.021 0.667 0.819
Se: 0.979 0.333 0.181
Se: 0.315 0.667 0.485
Se: 0.850 0.167 0.347
Se: 0.815 0.833 0.485
Se: 0.350 0.333 0.347
Se: 0.185 0.833 0.985
Se: 0.150 0.167 0.847
Se: 0.521 0.833 0.819
Se: 0.685 0.333 0.515
Se: 0.479 0.833 0.319
Se: 0.479 0.167 0.181
Se: 0.350 0.667 0.153
Se: 0.979 0.667 0.319
Se: 0.650 0.333 0.847
Se: 0.685 0.667 0.985
Se: 0.315 0.333 0.015
Se: 0.150 0.833 0.653
Se: 0.850 0.833 0.153

Entry 2:
VASP calculation (PBEsol) on an optimized crystal structure of Cu2As2Se.

**Total DFT energy (no corrections)**: -4.252 eV/atom

a = 3.847 Å, b = 3.847 Å, c = 6.264 Å
α = 107.88°, β = 107.88°, γ = 90.00°
Atoms (fractional coordinates):
As: 0.250 0.750 0.500
As: 0.750 0.250 0.500
Cu: 0.394 0.394 0.789
Cu: 0.606 0.606 0.211
Se: 0.000 0.000 0.000

Entry 3:
VASP calculation (PBEsol) on an optimized crystal structure of Cu7As6Se13.

**Total DFT energy (no corrections)**: -4.301 eV/atom

a = 8.565 Å, b = 8.565 Å, c = 8.565 Å
α = 102.50°, β = 102.50°, γ = 102.50°
Atoms (fractional coordinates):
As: 0.855 0.978 0.510
As: 0.510 0.855 0.978
As: 0.978 0.510 0.855
As: 0.067 0.636 0.537
As: 0.537 0.067 0.636
As: 0.636 0.537 0.067
Cu: 0.145 0.932 0.205
Cu: 0.205 0.145 0.932
Cu: 0.932 0.205 0.145
Cu: 0.267 0.375 0.590
Cu: 0.590 0.267 0.375
Cu: 0.375 0.590 0.267
Cu: 0.752 0.752 0.752
Se: 0.088 0.287 0.746
Se: 0.746 0.088 0.287
Se: 0.287 0.746 0.088
Se: 0.330 0.961 0.777
Se: 0.777 0.330 0.961
Se: 0.961 0.777 0.330
Se: 0.342 0.146 0.440
Se: 0.440 0.342 0.146
Se: 0.146 0.440 0.342
Se: 0.505 0.574 0.792
Se: 0.792 0.505 0.574
Se: 0.574 0.792 0.505
Se: 0.967 0.967 0.967

Entry 4:
VASP calculation (PBEsol) on an optimized crystal structure of Cu3AsSe4.

**Total DFT energy (no corrections)**: -4.316 eV/atom

a = 5.535 Å, b = 5.535 Å, c = 6.732 Å
α = 114.27°, β = 114.27°, γ = 90.00°
Atoms (fractional coordinates):
As: 0.000 0.000 0.000
Cu: 0.750 0.250 0.500
Cu: 0.250 0.750 0.500
Cu: 0.500 0.500 0.000
Se: 0.127 0.612 0.739
Se: 0.873 0.873 0.261
Se: 0.612 0.127 0.739
Se: 0.388 0.388 0.261

Entry 5:
VASP calculation (PBEsol) on an optimized crystal structure of CuAsSe2.

**Total DFT energy (no corrections)**: -4.274 eV/atom

a = 4.319 Å, b = 4.319 Å, c = 6.217 Å
α = 69.67°, β = 69.67°, γ = 60.00°
Atoms (fractional coordinates):
As: 0.006 0.006 0.981
Cu: 0.509 0.509 0.474
Se: 0.866 0.866 0.401
Se: 0.368 0.368 0.896

Entry 6:
VASP calculation (PBEsol) on an optimized crystal structure of CuAsSe.

**Total DFT energy (no corrections)**: -4.533 eV/atom

a = 3.933 Å, b = 5.508 Å, c = 11.637 Å
α = 90.00°, β = 90.00°, γ = 90.00°
Atoms (fractional coordinates):
As: 0.750 0.861 0.018
As: 0.750 0.639 0.518
As: 0.250 0.361 0.482
As: 0.250 0.139 0.982
Cu: 0.750 0.916 0.670
Cu: 0.750 0.584 0.170
Cu: 0.250 0.416 0.830
Cu: 0.250 0.084 0.330
Se: 0.750 0.845 0.332
Se: 0.750 0.655 0.832
Se: 0.250 0.345 0.168
Se: 0.250 0.155 0.668

Entry 7:
VASP calculation (PBEsol) on an optimized crystal structure of CuAsSe2.

**Total DFT energy (no corrections)**: -4.296 eV/atom

a = 3.787 Å, b = 4.226 Å, c = 6.126 Å
α = 94.88°, β = 108.01°, γ = 90.00°
Atoms (fractional coordinates):
As: 0.448 0.634 0.897
Se: 0.989 0.042 0.978
Se: 0.243 0.534 0.487
Cu: 0.819 0.290 0.638

Entry 8:
VASP calculation (PBEsol) on an optimized crystal structure of CuAsSe.

**Total DFT energy (no corrections)**: -4.193 eV/atom

a = 2.760 Å, b = 2.760 Å, c = 7.151 Å
α = 101.13°, β = 101.13°, γ = 90.00°
Atoms (fractional coordinates):
As: 0.032 0.032 0.063
Cu: 0.661 0.661 0.322
Se: 0.307 0.307 0.614